First-principles (PBE) data for Tb15Pr2Mg2 after structural relaxation, as listed in Alexandria via LeMat-Bulk.

Structure (extended XYZ):
```
19
Lattice="0.327 -0.079 8.651 1.573 -8.430 1.186 8.590 0.386 1.001" Properties=species:S:1:pos:R:3 pbc="T T T"
Tb 0.786 -4.215 0.593
Tb 4.295 0.193 0.501
Tb 0.163 -0.040 4.325
Tb 6.152 0.249 3.258
Tb 0.694 -2.543 6.448
Tb 3.643 -5.829 1.131
Tb 1.205 -5.966 3.388
Tb 6.520 -2.215 1.056
Tb 2.765 0.058 6.394
Tb 4.556 -7.064 4.492
Tb 7.996 -2.742 4.401
Tb 3.945 -2.970 8.151
Tb 5.934 -1.059 6.346
Tb 2.494 -5.381 6.436
Tb 6.545 -5.153 2.686
Pr 7.069 -5.474 7.303
Pr 3.421 -2.649 3.535
Mg 9.511 -7.365 9.827
Mg 0.979 -0.758 1.011
```

Properties
Uncorrected energy   -78.2 eV for the cell shown
Magnetic moment   0.00 μB per cell
Energy relative to the elements   3.97 eV per formula unit
Symmetry   No. 166